Record 1
{
  "formula": "LiNpAsO6",
  "functional": "GGA-PBE",
  "state": "relaxed",
  "sg": "P-31c, No. 163",
  "volume_a3_per_atom": 12.4,
  "n_ef_per_ev_atom": 0.101,
  "final_energy_ev_per_atom": -7.370,
  "lattice_angstrom": [[5.2357, 0.0000, 0.0000], [-2.6178, 4.5342, 0.0000], [0.0000, 0.0000, 9.4207]],
  "species": ["Li", "Li", "Np", "Np", "As", "As", "O", "O", "O", "O", "O", "O", "O", "O", "O", "O", "O", "O"],
  "frac_coords": [[0.0000, 0.0000, 0.0000], [0.0000, 0.0000, 0.5000], [0.3333, 0.6667, 0.2500], [0.6667, 0.3333, 0.7500], [0.3333, 0.6667, 0.7500], [0.6667, 0.3333, 0.2500], [0.0319, 0.3738, 0.6387], [0.0319, 0.6582, 0.8613], [0.3418, 0.3738, 0.8613], [0.3418, 0.9681, 0.6387], [0.3738, 0.0319, 0.1387], [0.3738, 0.3418, 0.3613], [0.6262, 0.6582, 0.6387], [0.6262, 0.9681, 0.8613], [0.6582, 0.0319, 0.3613], [0.6582, 0.6262, 0.1387], [0.9681, 0.3418, 0.1387], [0.9681, 0.6262, 0.3613]]
}


Record 2
{
  "formula": "Li2NpAsO6",
  "functional": "GGA-PBE",
  "state": "relaxed",
  "sg": "P4mm, No. 99",
  "volume_a3_per_atom": 13.1,
  "n_ef_per_ev_atom": 0.513,
  "final_energy_ev_per_atom": -7.054,
  "lattice_angstrom": [[5.5399, 0.0000, 0.0000], [0.0000, 5.5399, 0.0000], [0.0000, 0.0000, 4.2620]],
  "species": ["Li", "Li", "Np", "As", "O", "O", "O", "O", "O", "O"],
  "frac_coords": [[0.0000, 0.5000, 0.0000], [0.5000, 0.0000, 0.0000], [0.0000, 0.0000, 0.7212], [0.5000, 0.5000, 0.6740], [0.0000, 0.0000, 0.2346], [0.2689, 0.2689, 0.7823], [0.2689, 0.7311, 0.7823], [0.5000, 0.5000, 0.2798], [0.7311, 0.2689, 0.7823], [0.7311, 0.7311, 0.7823]]
}


Record 3
{
  "formula": "LiNp2PaAs4",
  "functional": "GGA-PBE",
  "state": "relaxed",
  "sg": "P2/m, No. 10",
  "volume_a3_per_atom": 24.1,
  "formation_energy_ev_per_atom": -0.670,
  "n_ef_per_ev_atom": 2.771,
  "final_energy_ev_per_atom": -7.656,
  "lattice_angstrom": [[7.0392, 0.0000, 0.0000], [0.0000, 4.1135, 0.0000], [-2.3499, 0.0000, 6.6452]],
  "species": ["Li", "Np", "Np", "Pa", "As", "As", "As", "As"],
  "frac_coords": [[0.0000, 0.0000, 0.0000], [0.5000, 0.0000, 0.5000], [0.5000, 0.5000, 0.0000], [0.0000, 0.5000, 0.5000], [0.2448, 0.0000, 0.7514], [0.2508, 0.5000, 0.2544], [0.7492, 0.5000, 0.7456], [0.7552, 0.0000, 0.2486]]
}


Record 4
{
  "formula": "LiNpAsPt",
  "functional": "GGA-PBE",
  "state": "relaxed",
  "sg": "F-43m, No. 216",
  "volume_a3_per_atom": 18.8,
  "formation_energy_ev_per_atom": -0.518,
  "n_ef_per_ev_atom": 1.497,
  "final_energy_ev_per_atom": -6.905,
  "lattice_angstrom": [[6.7031, 0.0000, 0.0000], [0.0000, 6.7031, 0.0000], [0.0000, 0.0000, 6.7031]],
  "species": ["Li", "Li", "Li", "Li", "Np", "Np", "Np", "Np", "As", "As", "As", "As", "Pt", "Pt", "Pt", "Pt"],
  "frac_coords": [[0.0000, 0.0000, 0.0000], [0.0000, 0.5000, 0.5000], [0.5000, 0.0000, 0.5000], [0.5000, 0.5000, 0.0000], [0.0000, 0.0000, 0.5000], [0.0000, 0.5000, 0.0000], [0.5000, 0.0000, 0.0000], [0.5000, 0.5000, 0.5000], [0.2500, 0.2500, 0.2500], [0.2500, 0.7500, 0.7500], [0.7500, 0.2500, 0.7500], [0.7500, 0.7500, 0.2500], [0.2500, 0.2500, 0.7500], [0.2500, 0.7500, 0.2500], [0.7500, 0.2500, 0.2500], [0.7500, 0.7500, 0.7500]]
}